No. 1
{"formula": "LiRu2Au", "functional": "PBE", "state": "optimized geometry", "lattice": [[-1.798, 1.798, 9.695], [1.798, -1.798, 9.695], [1.798, 1.798, -9.695]], "species": ["Li", "Li", "Ru", "Ru", "Ru", "Ru", "Au", "Au"], "fractional_positions": [[0.000, 0.000, 0.000], [0.750, 0.250, 0.500], [0.094, 0.625, 0.969], [0.375, 0.344, 0.469], [0.656, 0.125, 0.031], [0.875, 0.906, 0.531], [0.250, 0.750, 0.500], [0.500, 0.500, 0.000]], "dos_ef_per_ev_fu": 4.816, "formation_energy_mev_per_atom": 446.8, "polymorph_energy_mev_per_atom": 392}


No. 2
{"formula": "LiRu2Au", "functional": "PBE", "state": "optimized geometry", "lattice": [[2.722, 0.000, 0.000], [0.000, 4.758, 0.000], [-0.218, 0.000, 4.572]], "species": ["Li", "Ru", "Ru", "Au"], "fractional_positions": [[0.000, 0.000, 0.000], [0.250, 0.500, 0.764], [0.750, 0.500, 0.236], [0.500, 0.000, 0.500]], "dos_ef_per_ev_fu": 4.833, "formation_energy_mev_per_atom": 250.6, "polymorph_energy_mev_per_atom": 196}


For each record above, in turn, the calculated V values are 15.677; 14.803 Å³ per atom.